ScCo2W | GGA-PBE | relaxed

## Properties
- SG = R3m (160)
- E above lowest polymorph (eV per atom) = 0.427
- final energy (eV/atom) = -8.015

Cell and atoms, written as POSCAR:
```
ScCo2W
1.0
8.672 0.015 0.009
8.204 2.812 0.009
8.204 1.374 2.453
Sc W Co
1 1 2
direct
0.506 0.506 0.506
0.742 0.742 0.742
0.257 0.257 0.257
0.995 0.995 0.995
```